1.
Below is a geometry-optimized K2HgPtBr6 structure, with properties calculated at the PBE level.

Results
Calculated total energy in eV per atom: -2.714
Symmetry: No. 225

Cell: 7.8008 7.8008 7.8008 Å, 60.00 60.00 60.00°
Positions (direct):
Br1 0.7690 0.2310 0.2310
Br2 0.2310 0.7690 0.2310
Br3 0.7690 0.7690 0.2310
Br4 0.2310 0.2310 0.7690
Br5 0.7690 0.2310 0.7690
Br6 0.2310 0.7690 0.7690
Hg1 0.5000 0.5000 0.5000
K1 0.2500 0.2500 0.2500
K2 0.7500 0.7500 0.7500
Pt1 0.0000 0.0000 0.0000

2.
Below is a geometry-optimized KRb2HgBr6 structure, with properties calculated at the PBE level.

Results
Calculated total energy in eV per atom: -2.432
Symmetry: No. 87

Cell: 8.3952 8.3952 8.3952 Å, 124.17 124.17 82.92°
Positions (direct):
Br1 0.2394 0.2394 0.0000
Br2 0.7606 0.7606 0.0000
Br3 0.3265 0.8858 0.2123
Br4 0.1142 0.3265 0.4408
Br5 0.8858 0.6735 0.5592
Br6 0.6735 0.1142 0.7877
Hg1 0.0000 0.0000 0.0000
K1 0.5000 0.5000 0.0000
Rb1 0.7500 0.2500 0.5000
Rb2 0.2500 0.7500 0.5000

3.
Below is a geometry-optimized K2SnHgBr6 structure, with properties calculated at the PBE level.

Results
Calculated total energy in eV per atom: -2.664
Symmetry: No. 225

Cell: 8.0915 8.0915 8.0915 Å, 60.00 60.00 60.00°
Positions (direct):
Br1 0.7484 0.7484 0.2516
Br2 0.2516 0.7484 0.2516
Br3 0.7484 0.2516 0.2516
Br4 0.7484 0.2516 0.7484
Br5 0.2516 0.2516 0.7484
Br6 0.2516 0.7484 0.7484
Hg1 0.5000 0.5000 0.5000
K1 0.2500 0.2500 0.2500
K2 0.7500 0.7500 0.7500
Sn1 0.0000 0.0000 0.0000

4.
Below is a geometry-optimized K2ZrHgBr6 structure, with properties calculated at the PBE level.

Results
Calculated total energy in eV per atom: -3.412
Symmetry: No. 225

Cell: 8.4501 8.4501 8.4501 Å, 60.00 60.00 60.00°
Positions (direct):
Br1 0.7783 0.2217 0.2217
Br2 0.2217 0.7783 0.2217
Br3 0.7783 0.7783 0.2217
Br4 0.2217 0.2217 0.7783
Br5 0.2217 0.7783 0.7783
Br6 0.7783 0.2217 0.7783
Hg1 0.5000 0.5000 0.5000
K1 0.2500 0.2500 0.2500
K2 0.7500 0.7500 0.7500
Zr1 0.0000 0.0000 0.0000

5.
Below is a geometry-optimized Li2HgBr4 structure, with properties calculated at the PBE level.

Results
Calculated total energy in eV per atom: -2.608
Symmetry: No. 82

Cell: 7.3076 7.3076 7.3076 Å, 132.25 132.25 69.83°
Positions (direct):
Br1 0.3917 0.8734 0.0037
Br2 0.6120 0.6083 0.4817
Br3 0.1266 0.1303 0.5183
Br4 0.8697 0.3880 0.9963
Hg1 0.0000 0.0000 0.0000
Li1 0.5000 0.5000 0.0000
Li2 0.2500 0.7500 0.5000

6.
Below is a geometry-optimized Rb2LiHgBr6 structure, with properties calculated at the PBE level.

Results
Calculated total energy in eV per atom: -2.471
Symmetry: No. 225

Cell: 7.7463 7.7463 7.7463 Å, 60.00 60.00 60.00°
Positions (direct):
Br1 0.7464 0.2536 0.2536
Br2 0.2536 0.7464 0.2536
Br3 0.7464 0.7464 0.2536
Br4 0.2536 0.2536 0.7464
Br5 0.7464 0.2536 0.7464
Br6 0.2536 0.7464 0.7464
Hg1 0.0000 0.0000 0.0000
Li1 0.5000 0.5000 0.5000
Rb1 0.2500 0.2500 0.2500
Rb2 0.7500 0.7500 0.7500

Q: Which formula does entry 5 have?
A: Li2HgBr4

Q: What is the formula in the second record?
A: KRb2HgBr6